Compound: Li4Ni2OF7
Source: Alexandria
Functional: SCAN
Structure: PBEsol geometry

Cell lengths 5.7739, 5.8219, 5.8219 Å; angles 119.54, 119.46, 60.54 degrees
Site moments in Bohr magnetons follow the coordinates.
Atoms (fractional coordinates):
Li 0.8688 0.8846 0.1154  0.00
Li 0.1258 0.1132 0.8868  0.00
Li 0.0026 0.5036 0.4964  0.00
Li 0.5120 0.4937 0.5063  0.00
Ni 0.4841 0.9886 0.4887  1.87
Ni 0.4841 0.5113 0.0114  1.87
O 0.2775 0.7550 0.2450  0.60
F 0.7211 0.2510 0.7490  0.06
F 0.2535 0.2535 0.7465  0.09
F 0.7461 0.7455 0.2545  0.09
F 0.2690 0.7191 0.7445  0.06
F 0.2690 0.2555 0.2809  0.06
F 0.7431 0.7484 0.7234  0.06
F 0.7431 0.2766 0.2516  0.06

Results
The space group is Cm. The calculation puts the raw formation energy at -2.58 eV/atom. As for the crystal system: monoclinic. The total energy comes out at -7.79 eV per atom.

***

Compound: Li4Ni3O2F6
Source: Alexandria
Functional: SCAN
Structure: PBEsol geometry

Cell lengths 5.0302, 5.0454, 5.8103 Å; angles 89.68, 72.95, 80.19 degrees
Site moments in Bohr magnetons follow the coordinates.
Atoms (fractional coordinates):
Li 0.4846 0.7346 0.6255  0.00
Li 0.5154 0.2654 0.3745  0.00
Li 0.4877 0.7592 0.1319  0.00
Li 0.5123 0.2408 0.8681  0.00
Ni 0.0000 0.0000 0.5000  1.72
Ni 0.0017 0.5007 0.2606  1.68
Ni 0.9983 0.4993 0.7394  1.68
O 0.2262 0.6385 0.4433  0.17
O 0.7738 0.3615 0.5567  0.17
F 0.7365 0.8712 0.3251  0.07
F 0.2635 0.1288 0.6749  0.07
F 0.2758 0.1312 0.1922  0.07
F 0.7242 0.8688 0.8078  0.07
F 0.2592 0.5988 0.9344  0.05
F 0.7408 0.4012 0.0656  0.05

Results
The space group is P-1. The calculation puts the raw formation energy at -2.40 eV/atom. As for the crystal system: triclinic. The total energy comes out at -8.52 eV per atom.

***

Compound: Li3Ni3OF7
Source: Alexandria
Functional: SCAN
Structure: PBEsol geometry

Cell lengths 5.8722, 5.8722, 5.8722 Å; angles 60.30, 60.30, 60.30 degrees
Site moments in Bohr magnetons follow the coordinates.
Atoms (fractional coordinates):
Li 0.0000 0.0000 0.0000  0.00
Li 0.2553 0.2553 0.2553  0.00
Li 0.6239 0.6239 0.6239  0.00
Ni 0.6150 0.6150 0.1338  1.71
Ni 0.1338 0.6150 0.6150  1.71
Ni 0.6150 0.1338 0.6150  1.71
O 0.3879 0.3879 0.3879  0.23
F 0.8664 0.8664 0.8664  0.06
F 0.3831 0.8579 0.3831  0.07
F 0.3831 0.3831 0.8579  0.07
F 0.8579 0.3831 0.3831  0.07
F 0.3966 0.8678 0.8678  0.07
F 0.8678 0.8678 0.3966  0.07
F 0.8678 0.3966 0.8678  0.07

Results
The space group is R3m. The calculation puts the raw formation energy at -2.48 eV/atom. As for the crystal system: trigonal. The total energy comes out at -8.67 eV per atom.